Arrangement i

DFT (PBE with a Hubbard U) results for crystalline GaNi2BO5 at its relaxed geometry.

Lattice parameters (Å, degrees): 3.0003 9.3232 12.2899 90.00 90.00 90.00
Closest atoms and distances in Å follow each position.
Sites, in units of the cell vectors:
Ga (0.0000, 0.2386, 0.1163)  6 O 1.95-2.10
Ga (0.0000, 0.7614, 0.8837)  6 O 1.95-2.10
Ga (0.0000, 0.7386, 0.3837)  6 O 1.95-2.10
Ga (0.0000, 0.2614, 0.6163)  6 O 1.95-2.10
Ni (0.5000, 0.9996, 0.2816)  6 O 1.99-2.14
Ni (0.5000, 0.0004, 0.7184)  6 O 1.99-2.14
Ni (0.5000, 0.4996, 0.2184)  6 O 1.99-2.14
Ni (0.5000, 0.5004, 0.7816)  6 O 1.99-2.14
Ni (0.5000, 0.0000, 0.0000)  6 O 2.04-2.12
Ni (0.5000, 0.5000, 0.5000)  6 O 2.04-2.12
Ni (0.0000, 0.5000, 0.0000)  6 O 2.07-2.10
Ni (0.0000, 0.0000, 0.5000)  6 O 2.07-2.10
B (0.0000, 0.2718, 0.3612)  3 O 1.38-1.40
B (0.0000, 0.7282, 0.6388)  3 O 1.38-1.40
B (0.0000, 0.7718, 0.1388)  3 O 1.38-1.40
B (0.0000, 0.2282, 0.8612)  3 O 1.38-1.40
O (0.0000, 0.1516, 0.9586)  1 B 1.39
O (0.0000, 0.8484, 0.0414)  1 B 1.39
O (0.0000, 0.6516, 0.5414)  1 B 1.39
O (0.0000, 0.3484, 0.4586)  1 B 1.39
O (0.5000, 0.1097, 0.1432)  2 Ga 1.95, 2 Ni 1.99-2.04
O (0.5000, 0.8903, 0.8568)  2 Ga 1.95, 2 Ni 1.99-2.04
O (0.5000, 0.6097, 0.3568)  2 Ga 1.95, 2 Ni 1.99-2.04
O (0.5000, 0.3903, 0.6432)  2 Ga 1.95, 2 Ni 1.99-2.04
O (0.0000, 0.1238, 0.3597)  1 B 1.38
O (0.0000, 0.8762, 0.6403)  1 B 1.38
O (0.0000, 0.6238, 0.1403)  1 B 1.38
O (0.0000, 0.3762, 0.8597)  1 B 1.38
O (0.5000, 0.3810, 0.0790)  3 Ni 2.04-2.10, 2 Ga 2.06
O (0.5000, 0.6190, 0.9210)  3 Ni 2.04-2.10, 2 Ga 2.06
O (0.5000, 0.8810, 0.4210)  3 Ni 2.04-2.10, 2 Ga 2.06
O (0.5000, 0.1190, 0.5790)  3 Ni 2.04-2.10, 2 Ga 2.06
O (0.0000, 0.3469, 0.2630)  1 B 1.40
O (0.0000, 0.6531, 0.7370)  1 B 1.40
O (0.0000, 0.8469, 0.2370)  1 B 1.40
O (0.0000, 0.1531, 0.7630)  1 B 1.40

Properties
**D(E_F)**: 0.0 states/eV/cell
**Space group**: No. 55

Arrangement ii

DFT (PBE with a Hubbard U) results for crystalline GaNi2BO5 at its relaxed geometry.

Lattice parameters (Å, degrees): 2.8995 7.3794 9.9217 90.00 90.00 101.33
Closest atoms and distances in Å follow each position.
Sites, in units of the cell vectors:
Ga (0.8204, 0.6408, 0.5708)  4 O 1.84-1.93
Ga (0.1796, 0.3592, 0.0708)  4 O 1.84-1.93
Ni (0.8771, 0.7542, 0.8980)  4 O 1.95-2.09
Ni (0.1634, 0.3269, 0.6703)  3 O 1.92-2.05
Ni (0.1229, 0.2458, 0.3980)  4 O 1.95-2.09
Ni (0.8366, 0.6731, 0.1703)  3 O 1.92-2.05
B (0.5544, 0.1088, 0.8817)  2 O 1.38-1.40
B (0.4456, 0.8912, 0.3817)  2 O 1.38-1.40
O (0.3062, 0.6123, 0.0100)  1 Ga 1.93, 2 Ni 2.09
O (0.6247, 0.2494, 0.7846)  1 B 1.40
O (0.4611, 0.9223, 0.8507)  1 B 1.38
O (0.3050, 0.6099, 0.6864)  2 Ga 1.86, 1 Ni 2.05
O (0.9276, 0.8553, 0.4715)  2 B 1.72, 1 Ga 1.84
O (0.6938, 0.3877, 0.5100)  1 Ga 1.93, 2 Ni 2.09
O (0.3753, 0.7506, 0.2846)  1 B 1.40
O (0.5389, 0.0777, 0.3507)  1 B 1.38
O (0.6950, 0.3901, 0.1864)  2 Ga 1.86, 1 Ni 2.05
O (0.0724, 0.1447, 0.9715)  2 B 1.72, 1 Ga 1.84

Properties
**Space group**: No. 36

Last place for stability: arrangement ii